# SmSiAu

A relaxed structure of SmSiAu (PBE, the Alexandria database).

Summary:
total DFT energy (no corrections)	-14.32	eV per cell
formation energy from raw total energies	-0.2990	eV/atom
DOS(E_F)	0.69	states/eV per atom
SG	I4mm, No. 107

a = 4.022 Å, b = 4.022 Å, c = 5.114 Å
α = 113.16°, β = 113.16°, γ = 90.00°
Atoms (fractional coordinates):
Si  0.963  0.963  0.926
Sm  0.617  0.617  0.234
Au  0.270  0.270  0.540


# Sm3Si2Au4

A relaxed structure of Sm3Si2Au4 (PBE, the Alexandria database).

Summary:
total DFT energy (no corrections)	-45.26	eV per cell
formation energy from raw total energies	-0.7938	eV/atom
DOS(E_F)	0.33	states/eV per atom
SG	C2/m, No. 12

a = 4.436 Å, b = 5.913 Å, c = 8.744 Å
α = 108.78°, β = 90.00°, γ = 112.03°
Atoms (fractional coordinates):
Sm  0.336  0.672  0.336
Au  0.940  0.879  0.618
Si  0.607  0.214  0.281
Au  0.288  0.575  0.932
Au  0.060  0.121  0.382
Au  0.712  0.425  0.068
Si  0.393  0.786  0.719
Sm  0.664  0.328  0.664
Sm  0.000  0.000  0.000


- The highest formation energy from raw total energies belongs to which entry?
  SmSiAu